GGA-PBE Sm2Be4Ge3Ru, relaxed; spin magnetization = 0.000 Bohr magnetons per cell; DOS at the Fermi energy = 0.41 states/eV/atom; SG = P-4m2, No. 115; calculated formation energy = -0.41 eV/atom
1.0
-1.061 0.548 -3.732
-1.700 -3.530 -0.035
-8.669 4.143 3.073
Be Sm Ge Ru
4 2 3 1
direct
0.500 0.000 0.631
0.500 0.500 0.000
0.000 0.500 0.369
0.000 0.000 0.000
0.500 0.000 0.249
0.000 0.500 0.751
0.000 0.000 0.500
0.000 0.500 0.132
0.500 0.000 0.868
0.500 0.500 0.500